Entry 1:
The following is a DFT calculation (PBE) of an optimized crystal structure of La2MoIr.

a b c (Å): 4.959 4.959 4.959
angles (deg): 60.00 60.00 60.00
Atoms (fractional coordinates):
La1 0.000 0.000 0.000
La2 0.250 0.250 0.250
Mo1 0.750 0.750 0.750
Ir1 0.500 0.500 0.500

As for the symmetry: F-43m (216). Its formation energy is 0.223 eV/atom. Its excess energy over the best structure of this formula in the dataset is 1.319 eV/f.u.

---

Entry 2:
The following is a DFT calculation (PBE) of an optimized crystal structure of LaMoIr2.

a b c (Å): 2.880 3.892 6.880
angles (deg): 90.00 90.00 90.00
Atoms (fractional coordinates):
La1 0.000 0.000 0.000
Mo1 0.500 0.500 0.350
Ir1 0.000 0.000 0.507
Ir2 0.500 0.500 0.726

As for the symmetry: Pmm2 (25). Its formation energy is 0.090 eV/atom. Its excess energy over the best structure of this formula in the dataset is 1.241 eV/f.u.

---

Entry 3:
The following is a DFT calculation (PBE) of an optimized crystal structure of La4MoIr.

a b c (Å): 6.133 6.133 6.133
angles (deg): 60.00 60.00 60.00
Atoms (fractional coordinates):
La1 0.376 0.376 0.376
La2 0.376 0.376 0.873
La3 0.376 0.873 0.376
La4 0.873 0.376 0.376
Mo1 0.000 0.000 0.000
Ir1 0.750 0.750 0.750

As for the symmetry: F-43m (216). Its formation energy is 0.995 eV/atom.

---

Entry 4:
The following is a DFT calculation (PBE) of an optimized crystal structure of LaMoIr3.

a b c (Å): 4.833 4.833 4.833
angles (deg): 90.00 90.00 90.00
Atoms (fractional coordinates):
La1 0.000 0.000 0.000
Mo1 0.500 0.500 0.500
Ir1 0.000 0.000 0.500
Ir2 0.000 0.500 0.000
Ir3 0.500 0.000 0.000

As for the symmetry: Pm-3m (221). Its formation energy is 2.401 eV/atom. Its excess energy over the best structure of this formula in the dataset is 9.852 eV/f.u.